This record from the Alexandria database describes a geometry-optimized ZrTcSn3 structure. The functional is PBE-GGA.

```
ZrTcSn3
1.0
5.111 0.000 0.000
0.000 5.111 0.000
0.000 0.000 5.111
Sn Zr Tc
3 1 1
direct
0.000 0.500 0.000
0.500 0.000 0.000
0.000 0.000 0.500
0.500 0.500 0.500
0.000 0.000 0.000
```

Output
Calculated density ... 6.785 g/cm3
Calculated formation energy ... 0.63 eV/atom
DOS(E_F) ... 9.6 states/eV/cell
Total energy ... -5.558 eV per atom
Symmetry ... No. 221

This record from the Alexandria database describes a geometry-optimized Ta2ZnN structure. The functional is PBE-GGA.

```
Ta2ZnN
1.0
5.116 0.000 0.000
0.000 5.116 0.000
2.558 2.558 5.480
Ta N Zn
4 2 2
direct
0.231 0.625 0.250
0.375 0.481 0.750
0.519 0.125 0.250
0.875 0.769 0.750
0.500 0.500 0.000
0.250 0.750 0.500
0.000 0.000 0.000
0.750 0.250 0.500
```

Output
Calculated density ... 10.217 g/cm3
DOS(E_F) ... 5.1 states/eV/cell
Total energy ... -8.135 eV per atom
Formation energy without anion corrections ... 0.192 eV per atom
E above lowest polymorph ... 647 meV/atom
Symmetry ... No. 122

This record from the Alexandria database describes a geometry-optimized Ce5Co2Hg2 structure. The functional is PBE-GGA.

```
Ce5Co2Hg2
1.0
6.109 0.000 2.218
0.000 8.266 0.000
0.271 0.000 8.778
Ce Co Hg
10 4 4
direct
0.500 0.500 0.000
0.000 0.000 0.000
0.967 0.318 0.770
0.763 0.818 0.770
0.737 0.318 0.230
0.533 0.818 0.230
0.263 0.682 0.770
0.237 0.182 0.230
0.467 0.182 0.770
0.033 0.682 0.230
0.159 0.400 0.000
0.659 0.100 0.000
0.841 0.600 0.000
0.341 0.900 0.000
0.280 0.500 0.439
0.720 0.500 0.561
0.220 0.000 0.561
0.780 0.000 0.439
```

Output
Calculated density ... 9.240 g/cm3
Calculated formation energy ... -0.22 eV/atom
DOS(E_F) ... 42.9 states/eV/cell
Total energy ... -5.158 eV per atom
E above lowest polymorph ... 0 meV/atom
Symmetry ... No. 64